A geometry-optimized CoNiO3 structure, computed with GGA+U.

Results
The calculation puts the raw total energy at -20.71 eV/cell. The magnetization comes out at 0.51 μB per atom.

Cell and atoms, written as POSCAR:
```
CoNiO3
1.0
3.619 0.000 0.000
0.000 3.619 0.000
0.000 0.000 3.619
Ni O Co
1 3 1
direct
0.500 0.500 0.500
0.500 0.000 0.000
0.000 0.000 0.500
0.000 0.500 0.000
0.000 0.000 0.000
```